# 1
Below is a relaxed CsAlCdH6 crystal, with properties calculated at the PBE level.

Computed properties:
E = -2.851 eV per atom
crystal system = trigonal
DOS(E_F) = 0.0 states/eV/cell
V = 141.60 Å³ per cell
size of the total moment = 0.000 μB per formula unit

```
CsAlCdH6
1.0
5.058 0.000 0.000
-2.529 4.380 0.000
0.000 0.000 6.391
Cs Al Cd H
1 1 1 6
direct
0.000 0.000 0.000
0.667 0.333 0.500
0.333 0.667 0.500
0.392 0.040 0.663
0.392 0.353 0.337
0.647 0.040 0.337
0.647 0.608 0.663
0.960 0.353 0.663
0.960 0.608 0.337
```

# 2
Below is a relaxed NbTl2Cl6 crystal, with properties calculated at the PBE level.

Computed properties:
E = -4.033 eV per atom
crystal system = monoclinic
energy above the lowest structure with this stoichiometry = 0.009 eV/atom
DOS(E_F) = 6.1 states/eV/cell
ΔE_f (raw) = -1158 meV per atom
V = 269.22 Å³ per cell
size of the total moment = 1.000 μB per formula unit

```
NbTl2Cl6
1.0
6.161 -3.564 0.000
6.161 3.564 0.000
-0.070 0.000 6.132
Nb Tl Cl
1 2 6
direct
0.000 0.000 0.000
0.332 0.332 0.810
0.668 0.668 0.190
0.163 0.163 0.228
0.163 0.676 0.224
0.324 0.837 0.776
0.676 0.163 0.224
0.837 0.324 0.776
0.837 0.837 0.772
```